DFT (GGA-PBE) results for a geometry-optimized LaYHoZn structure.

The calculation puts the excess energy over the best structure of this formula in the dataset at 0.1915 eV/atom. The energy of formation comes out at 30.1 meV/atom.

The space group is F-43m (No. 216) and the conventional cell measures 7.692, 7.692 and 7.692 Å, with angles of 90.00, 90.00 and 90.00 degrees. The asymmetric unit holds La at (0.000, 0.000, 0.000), Y at (0.000, 0.000, 0.500), Ho at (0.250, 0.250, 0.250) and Zn at (0.250, 0.250, 0.750).